Record 1
First-principles (GGA-PBE) data for a relaxed Pr2Zn3GaCu12 crystal, as listed in Alexandria via LeMat-Bulk.

Output
The calculation puts the calculated total energy at -3.416 eV per atom. The calculation puts the formation energy at 0.23 eV per atom.

abc: 8.1480 8.1480 17.8874
angles: 90.00 90.00 120.00
With the nearest neighbours (Å) after each atom.
Space group R-3m (No. 166, hexagonal axes)
One atom of each set of equivalent atoms:
1 Pr 0.0000 0.0000 0.1021 (multiplicity 6)  9 Cu 2.93-3.16
2 Zn 0.0000 0.5000 0.0000 (multiplicity 9)  6 Cu 2.49-2.51
3 Ga 0.0000 0.0000 0.5000 (multiplicity 3)  6 Cu 2.34
4 Cu 0.0098 0.5049 0.1393 (multiplicity 18)  1 Ga 2.34, 4 Cu 2.39-2.48, 1 Zn 2.49
5 Cu 0.1105 0.5552 0.4121 (multiplicity 18)  2 Cu 2.39, 2 Zn 2.51

=====

Record 2
First-principles (GGA-PBE) data for a relaxed SnBi2As3 crystal, as listed in Alexandria via LeMat-Bulk.

Output
The calculation puts the calculated total energy at -4.278 eV per atom. The calculation puts the formation energy at 0.01 eV per atom.

abc: 4.2314 4.2314 17.7785
angles: 90.00 90.00 90.00
With the nearest neighbours (Å) after each atom.
Space group I4/mmm (No. 139)
One atom of each set of equivalent atoms:
1 Sn 0.0000 0.0000 0.0000 (multiplicity 2)  6 As 2.91-2.99
2 Bi 0.0000 0.0000 0.3338 (multiplicity 4)  6 As 2.96-3.03
3 As 0.0000 0.0000 0.1634 (multiplicity 4)  1 Sn 2.91, 5 Bi 2.99-3.03
4 As 0.0000 0.0000 0.5000 (multiplicity 2)  2 Bi 2.96, 4 Sn 2.99

=====

Record 3
First-principles (GGA-PBE) data for a relaxed ScCuBr2 crystal, as listed in Alexandria via LeMat-Bulk.

Output
The value obtained for the offset from the most stable computed form is 0.203 eV per atom. The calculation puts the calculated total energy at -3.984 eV per atom. Its formation energy (no corrections) is -0.541 eV/atom.

abc: 3.5526 3.5526 29.3278
angles: 90.00 90.00 120.00
With the nearest neighbours (Å) after each atom.
Space group R-3m (No. 166, hexagonal axes)
One atom of each set of equivalent atoms:
1 Sc 0.0000 0.0000 0.0000 (multiplicity 3)  6 Br 2.70
2 Cu 0.0000 0.0000 0.5000 (multiplicity 3)  6 Cu 3.55, 6 Br 3.75
3 Br 0.0000 0.0000 0.2736 (multiplicity 6)  3 Sc 2.70

=====

Record 4
First-principles (GGA-PBE) data for a relaxed NdSm2Ho3Sb6 crystal, as listed in Alexandria via LeMat-Bulk.

Output
The calculation puts the calculated total energy at -5.535 eV per atom. Its formation energy (no corrections) is -1.145 eV/atom.

abc: 19.2964 4.4297 8.8543
angles: 90.00 103.18 90.00
With the nearest neighbours (Å) after each atom.
Space group C2/m (No. 12)
One atom of each set of equivalent atoms:
1 Nd 0.0000 0.0000 0.0000 (multiplicity 2)  6 Sb 3.17-3.18
2 Sm 0.1669 0.5000 0.3336 (multiplicity 4)  6 Sb 3.16
3 Ho 0.0000 0.0000 0.5000 (multiplicity 2)  6 Sb 3.09-3.10
4 Ho 0.1663 0.5000 0.8330 (multiplicity 4)  6 Sb 3.09-3.10
5 Sb 0.0013 0.5000 0.7438 (multiplicity 4)  3 Ho 3.09-3.10, 1 Sm 3.16, 2 Nd 3.17
6 Sb 0.1651 0.0000 0.5870 (multiplicity 4)  3 Ho 3.10, 3 Sm 3.16
7 Sb 0.1691 0.0000 0.0800 (multiplicity 4)  3 Ho 3.09-3.10, 2 Sm 3.16, 1 Nd 3.18

=====

Record 5
First-principles (GGA-PBE) data for a relaxed SrTi11O20 crystal, as listed in Alexandria via LeMat-Bulk.

Output
The calculation puts the calculated total energy at -8.858 eV per atom. Its formation energy (no corrections) is -2.993 eV/atom.

abc: 7.2016 7.7046 13.2445
angles: 90.24 92.78 103.79
With the nearest neighbours (Å) after each atom.
Space group P-1 (No. 2)
One atom of each set of equivalent atoms:
1 Sr 0.0453 0.1858 0.2392 (multiplicity 2)  5 O 2.55-2.76
2 Ti 0.1455 0.3642 0.7136 (multiplicity 2)  5 O 1.89-2.06
3 Ti 0.1620 0.5677 0.0696 (multiplicity 2)  6 O 1.93-2.11
4 Ti 0.1755 0.4199 0.4882 (multiplicity 2)  6 O 1.97-2.13
5 Ti 0.1768 0.0669 0.5622 (multiplicity 2)  6 O 1.97-2.10
6 Ti 0.1811 0.9212 0.9989 (multiplicity 2)  6 O 1.94-2.08
7 Ti 0.1821 0.2891 0.9173 (multiplicity 2)  6 O 1.97-2.11
8 Ti 0.1982 0.7960 0.4155 (multiplicity 2)  5 O 1.91-2.07
9 Ti 0.4648 0.5679 0.2926 (multiplicity 2)  6 O 1.91-2.11
10 Ti 0.4790 0.7952 0.6327 (multiplicity 2)  5 O 1.92-2.09
11 Ti 0.4891 0.0711 0.7982 (multiplicity 2)  5 O 1.90-2.07
12 Ti 0.4944 0.7031 0.8737 (multiplicity 2)  5 O 1.89-2.08
13 O 0.0030 0.1212 0.6676 (multiplicity 2)  3 Ti 1.99-2.03
14 O 0.0025 0.3171 0.0342 (multiplicity 2)  4 Ti 2.02-2.11
15 O 0.0039 0.8217 0.5328 (multiplicity 2)  4 Ti 2.01-2.18
16 O 0.0045 0.4032 0.8248 (multiplicity 2)  3 Ti 1.89-2.07
17 O 0.0107 0.5476 0.3969 (multiplicity 2)  4 Ti 2.02-2.13
18 O 0.0163 0.0458 0.9042 (multiplicity 2)  3 Ti 1.97-2.08
19 O 0.3210 0.6716 0.5211 (multiplicity 2)  3 Ti 1.92-2.01
20 O 0.3231 0.9567 0.6667 (multiplicity 2)  3 Ti 1.93-2.13
21 O 0.3249 0.3294 0.5952 (multiplicity 2)  4 Ti 1.97-2.14
22 O 0.3252 0.3775 0.3737 (multiplicity 2)  3 Ti 1.93-2.16
23 O 0.3264 0.8840 0.8770 (multiplicity 2)  3 Ti 1.97-2.05
24 O 0.3270 0.5362 0.9525 (multiplicity 2)  3 Ti 1.90-2.05
25 O 0.3289 0.1754 0.0243 (multiplicity 2)  3 Ti 1.89-2.05
26 O 0.3311 0.4492 0.1680 (multiplicity 2)  3 Ti 1.98-2.10
27 O 0.3315 0.8185 0.0974 (multiplicity 2)  3 Ti 1.90-2.05
28 O 0.3340 0.0459 0.4469 (multiplicity 2)  3 Ti 1.95-1.97
29 O 0.3403 0.2631 0.7990 (multiplicity 2)  4 Ti 2.02-2.11
30 O 0.3512 0.5970 0.7318 (multiplicity 2)  4 Ti 2.04-2.16
31 O 0.3513 0.7662 0.3058 (multiplicity 2)  3 Ti 1.91-2.07
32 O 0.3799 0.1162 0.2337 (multiplicity 2)  3 Ti 1.96-2.08

=====

Record 6
First-principles (GGA-PBE) data for a relaxed CoICl2 crystal, as listed in Alexandria via LeMat-Bulk.

Output
The value obtained for the offset from the most stable computed form is 0.034 eV per atom. The calculation puts the calculated total energy at -3.405 eV per atom. Its formation energy (no corrections) is -0.318 eV/atom.

abc: 3.4541 3.4541 35.4101
angles: 90.00 90.00 120.00
With the nearest neighbours (Å) after each atom.
Space group R-3m (No. 166, hexagonal axes)
One atom of each set of equivalent atoms:
1 Co 0.0000 0.0000 0.0000 (multiplicity 3)  6 Cl 2.42
2 I 0.0000 0.0000 0.5000 (multiplicity 3)  6 I 3.45
3 Cl 0.0000 0.0000 0.3720 (multiplicity 6)  3 Co 2.42

=====

Record 7
First-principles (GGA-PBE) data for a relaxed Nd2YCd6 crystal, as listed in Alexandria via LeMat-Bulk.

Output
The calculation puts the calculated total energy at -2.727 eV per atom. The calculation puts the formation energy at -0.34 eV per atom.

abc: 8.7455 8.7455 3.4672
angles: 90.00 90.00 120.00
With the nearest neighbours (Å) after each atom.
Space group P6/mmm (No. 191)
One atom of each set of equivalent atoms:
1 Nd 0.3333 0.6667 0.0000 (multiplicity 2)  12 Cd 3.40, 2 Nd 3.47
2 Y 0.0000 0.0000 0.0000 (multiplicity 1)  12 Cd 3.37, 2 Y 3.47
3 Cd 0.0000 0.3304 0.5000 (multiplicity 6)  3 Cd 2.89-2.97

=====

Record 8
First-principles (GGA-PBE) data for a relaxed Ga2IrI crystal, as listed in Alexandria via LeMat-Bulk.

Output
The calculation puts the calculated total energy at -4.012 eV per atom. Its formation energy (no corrections) is 0.105 eV/atom.

abc: 5.9424 5.9424 13.4231
angles: 90.00 90.00 90.00
With the nearest neighbours (Å) after each atom.
Space group I-42d (No. 122)
One atom of each set of equivalent atoms:
1 Ga 0.1386 0.2500 0.1250 (multiplicity 8)  2 Ir 2.39
2 Ir 0.0000 0.0000 0.0000 (multiplicity 4)  4 Ga 2.39
3 I 0.0000 0.0000 0.5000 (multiplicity 4)  4 Ga 3.10

=====

Record 9
First-principles (GGA-PBE) data for a relaxed LiZn2Tc crystal, as listed in Alexandria via LeMat-Bulk.

Output
The value obtained for the offset from the most stable computed form is 0.161 eV per atom. The calculation puts the calculated total energy at -3.633 eV per atom. The calculation puts the formation energy at 0.07 eV per atom.

abc: 8.9476 2.5315 5.0754
angles: 90.00 95.96 90.00
With the nearest neighbours (Å) after each atom.
Space group C2/m (No. 12)
One atom of each set of equivalent atoms:
1 Li 0.0000 0.0000 0.0000 (multiplicity 2)  2 Li 2.53, 6 Zn 2.68-2.79
2 Zn 0.2475 0.0000 0.7441 (multiplicity 4)  4 Zn 2.53-2.79, 3 Li 2.68-2.79, 3 Tc 2.69-2.73
3 Tc 0.0000 0.5000 0.5000 (multiplicity 2)  2 Tc 2.53, 6 Zn 2.69-2.73

=====

Record 10
First-principles (GGA-PBE) data for a relaxed CaTcRh crystal, as listed in Alexandria via LeMat-Bulk.

Output
The value obtained for the offset from the most stable computed form is 0.652 eV per atom. The calculation puts the calculated total energy at -6.024 eV per atom. The calculation puts the formation energy at 0.55 eV per atom.

abc: 6.2675 6.2675 6.2675
angles: 90.00 90.00 90.00
With the nearest neighbours (Å) after each atom.
Space group F-43m (No. 216)
One atom of each set of equivalent atoms:
1 Ca 0.0000 0.0000 0.0000 (multiplicity 4)  4 Rh 2.71
2 Tc 0.0000 0.0000 0.5000 (multiplicity 4)  4 Rh 2.71
3 Rh 0.2500 0.2500 0.2500 (multiplicity 4)  4 Tc 2.71, 4 Ca 2.71

=====

Record 11
First-principles (GGA-PBE) data for a relaxed AgPdAu6 crystal, as listed in Alexandria via LeMat-Bulk.

Output
The value obtained for the offset from the most stable computed form is 0.000 eV per atom. The calculation puts the calculated total energy at -3.520 eV per atom. The calculation puts the formation energy at -0.06 eV per atom.

abc: 5.7609 5.7609 4.2470
angles: 90.00 90.00 90.00
With the nearest neighbours (Å) after each atom.
Space group P4/mmm (No. 123)
One atom of each set of equivalent atoms:
1 Ag 0.0000 0.0000 0.0000 (multiplicity 1)  12 Au 2.88-2.95
2 Pd 0.5000 0.5000 0.0000 (multiplicity 1)  12 Au 2.88-2.93
3 Au 0.0000 0.5000 0.0000 (multiplicity 2)  2 Pd 2.88, 2 Ag 2.88, 8 Au 2.94
4 Au 0.2520 0.2520 0.5000 (multiplicity 4)  8 Au 2.86-2.94, 2 Pd 2.93, 2 Ag 2.95

=====

Record 12
First-principles (GGA-PBE) data for a relaxed CaCoAs crystal, as listed in Alexandria via LeMat-Bulk.

Output
The calculation puts the calculated total energy at -5.241 eV per atom. The calculation puts the formation energy at -0.66 eV per atom.

abc: 4.0261 4.0261 6.9840
angles: 90.00 90.00 90.00
With the nearest neighbours (Å) after each atom.
Space group P4/nmm (No. 129, origin choice 2)
One atom of each set of equivalent atoms:
1 Ca 0.2500 0.2500 0.1799 (multiplicity 2)  4 As 2.99, 4 Co 3.01
2 Co 0.2500 0.7500 0.5000 (multiplicity 2)  4 As 2.40
3 As 0.2500 0.2500 0.6878 (multiplicity 2)  4 Co 2.40

=====

- calculated total energy of number 6 (CoICl2)?
  -3.405 eV per atom